Entry 1:
Material: Re3SiTc
Method: DFT, PBE
State: relaxed

Unit cell a=4.6670 b=4.6670 c=4.6670 alpha=90.00 beta=90.00 gamma=90.00
Last column: nearest neighbours and their distance in Å.
Space group Pm-3m (No. 221)
Unique sites:
Re 0.0000 0.0000 0.5000 (multiplicity 3)  2 Tc 2.33
Si 0.5000 0.5000 0.5000 (multiplicity 1)  12 Re 3.30
Tc 0.0000 0.0000 0.0000 (multiplicity 1)  6 Re 2.33

Results
- crystal system = cubic
- formation energy from raw total energies (meV per atom) = 2299.5
- density (g/cm3) = 11.19


Entry 2:
Material: ReSiTc2
Method: DFT, PBE
State: relaxed

Unit cell a=5.9287 b=5.9287 c=9.1384 alpha=90.00 beta=90.00 gamma=90.00
Last column: nearest neighbours and their distance in Å.
Space group I-42d (No. 122)
Unique sites:
Re 0.0000 0.0000 0.0000 (multiplicity 4)  4 Tc 2.41
Si 0.0000 0.0000 0.5000 (multiplicity 4)  4 Tc 2.37
Tc 0.2445 0.2500 0.6250 (multiplicity 8)  2 Si 2.37, 2 Re 2.41

Results
- crystal system = tetragonal
- formation energy from raw total energies (meV per atom) = 1041.9
- density (g/cm3) = 8.48


Entry 3:
Material: ReSi2Tc
Method: DFT, PBE
State: relaxed

Unit cell a=2.9868 b=4.8604 c=7.7610 alpha=90.00 beta=90.00 gamma=90.00
Last column: nearest neighbours and their distance in Å.
Space group Cmmm (No. 65)
Unique sites:
Re 0.0000 0.0000 0.0000 (multiplicity 2)  4 Si 2.46
Si 0.0000 0.5000 0.2521 (multiplicity 4)  2 Tc 2.44, 2 Re 2.46
Tc 0.0000 0.0000 0.5000 (multiplicity 2)  4 Si 2.44

Results
- crystal system = orthorhombic
- formation energy from raw total energies (meV per atom) = 0.9
- density (g/cm3) = 10.03


Entry 4:
Material: ReSi2Tc
Method: DFT, PBE
State: relaxed

Unit cell a=2.8146 b=3.8341 c=5.2522 alpha=90.00 beta=91.87 gamma=90.00
Last column: nearest neighbours and their distance in Å.
Space group P2/m (No. 10)
Unique sites:
Re 0.0000 0.0000 0.0000 (multiplicity 1)  4 Si 2.41
Si 0.0979 0.5000 0.7271 (multiplicity 2)  2 Re 2.41, 1 Si 2.43, 2 Tc 2.54
Tc 0.5000 0.0000 0.5000 (multiplicity 1)  8 Si 2.54-2.79, 2 Tc 2.81

Results
- crystal system = monoclinic
- formation energy from raw total energies (meV per atom) = -6.1
- density (g/cm3) = 9.98


Entry 5:
Material: ReSiTc2
Method: DFT, PBE
State: relaxed

Unit cell a=2.8055 b=2.8055 c=25.1278 alpha=90.00 beta=90.00 gamma=120.00
Last column: nearest neighbours and their distance in Å.
Space group R-3m (No. 166, hexagonal axes)
Unique sites:
Re 0.0000 0.0000 0.0000 (multiplicity 3)  6 Tc 2.71, 6 Re 2.81
Si 0.0000 0.0000 0.5000 (multiplicity 3)  6 Tc 2.58, 6 Si 2.81
Tc 0.0000 0.0000 0.2467 (multiplicity 6)  3 Si 2.58, 3 Re 2.71, 6 Tc 2.81

Results
- crystal system = trigonal
- formation energy from raw total energies (meV per atom) = -76.1
- density (g/cm3) = 11.93


Entry 6:
Material: ReSiTc2
Method: DFT, PBE
State: relaxed

Unit cell a=9.6577 b=2.9516 c=4.3690 alpha=90.00 beta=116.81 gamma=90.00
Last column: nearest neighbours and their distance in Å.
Space group C2/m (No. 12)
Unique sites:
Re 0.0000 0.0000 0.0000 (multiplicity 2)  4 Si 2.64, 4 Tc 2.75, 2 Re 2.95
Si 0.0000 0.5000 0.5000 (multiplicity 2)  4 Tc 2.48, 4 Re 2.64
Tc 0.2310 0.0000 0.7310 (multiplicity 4)  2 Si 2.48, 4 Tc 2.66, 2 Re 2.75

Results
- crystal system = monoclinic
- formation energy from raw total energies (meV per atom) = -194.0
- density (g/cm3) = 12.26